DFT (GGA-PBE) results for crystalline Tl3Cd2AgCl9 at its relaxed geometry.

abc: 7.3646 7.3646 9.0684
angles: 90.00 90.00 120.00
Space group P-3m1 (No. 164)
Asymmetric unit:
Tl: 0.0000 0.0000 0.0000
Tl: 0.3333 0.6667 0.6409
Cd: 0.3333 0.6667 0.1665
Ag: 0.0000 0.0000 0.5000
Cl: 0.0000 0.5000 0.0000
Cl: 0.1678 0.3356 0.3373

## Properties
VASP energy, eV per cell: -41.46